(1)
Compound: YTa2Mo
Source: Alexandria
Functional: PBE-GGA
Structure: optimized geometry

Structure (CIF):
```
data_YTa2Mo
_symmetry_space_group_name_H-M 'I -4 m 2'
_symmetry_Int_Tables_number 119
_symmetry_space_group_name_Hall 'I -4 -2'
_cell_length_a 4.7857
_cell_length_b 4.7857
_cell_length_c 6.8133
_cell_angle_alpha 90.00
_cell_angle_beta 90.00
_cell_angle_gamma 90.00
loop_
_atom_site_label
_atom_site_type_symbol
_atom_site_fract_x
_atom_site_fract_y
_atom_site_fract_z
Y1 Y 0.0000 0.0000 0.0000
Ta1 Ta 0.0000 0.0000 0.5000
Ta2 Ta 0.0000 0.5000 0.2500
Mo1 Mo 0.0000 0.5000 0.7500
```

**Uncorrected energy**: -9.862 eV per atom
**ΔE_f**: 0.388 eV per atom

=====

(2)
Compound: YTaMo
Source: Alexandria
Functional: PBE-GGA
Structure: optimized geometry

Structure (CIF):
```
data_YTaMo
_symmetry_space_group_name_H-M 'F -4 3 m'
_symmetry_Int_Tables_number 216
_symmetry_space_group_name_Hall 'F -4 2 3'
_cell_length_a 6.5512
_cell_length_b 6.5512
_cell_length_c 6.5512
_cell_angle_alpha 90.00
_cell_angle_beta 90.00
_cell_angle_gamma 90.00
loop_
_atom_site_label
_atom_site_type_symbol
_atom_site_fract_x
_atom_site_fract_y
_atom_site_fract_z
Y1 Y 0.0000 0.0000 0.0000
Ta1 Ta 0.2500 0.2500 0.7500
Mo1 Mo 0.2500 0.2500 0.2500
```

**Uncorrected energy**: -7.925 eV per atom
**ΔE_f**: 1.791 eV per atom

=====

(3)
Compound: YTa2Mo
Source: Alexandria
Functional: PBE-GGA
Structure: optimized geometry

Structure (CIF):
```
data_YTa2Mo
_symmetry_space_group_name_H-M 'C m m 2'
_symmetry_Int_Tables_number 35
_symmetry_space_group_name_Hall 'C 2 -2'
_cell_length_a 3.3154
_cell_length_b 4.9431
_cell_length_c 9.6521
_cell_angle_alpha 90.00
_cell_angle_beta 90.00
_cell_angle_gamma 90.00
loop_
_atom_site_label
_atom_site_type_symbol
_atom_site_fract_x
_atom_site_fract_y
_atom_site_fract_z
Y1 Y 0.0000 0.0000 0.0000
Ta1 Ta 0.0000 0.0000 0.4736
Ta2 Ta 0.0000 0.5000 0.7087
Mo1 Mo 0.0000 0.5000 0.2598
```

**Uncorrected energy**: -9.979 eV per atom
**ΔE_f**: 0.271 eV per atom

=====

(4)
Compound: YTaMo
Source: Alexandria
Functional: PBE-GGA
Structure: optimized geometry

Structure (CIF):
```
data_YTaMo
_symmetry_space_group_name_H-M 'P 3 m 1'
_symmetry_Int_Tables_number 156
_symmetry_space_group_name_Hall 'P 3 -2"'
_cell_length_a 4.7436
_cell_length_b 4.7436
_cell_length_c 3.1097
_cell_angle_alpha 90.00
_cell_angle_beta 90.00
_cell_angle_gamma 120.00
loop_
_atom_site_label
_atom_site_type_symbol
_atom_site_fract_x
_atom_site_fract_y
_atom_site_fract_z
Y1 Y 0.0000 0.0000 0.0000
Ta1 Ta 0.3333 0.6667 0.5809
Mo1 Mo 0.6667 0.3333 0.3572
```

**Uncorrected energy**: -9.373 eV per atom
**ΔE_f**: 0.343 eV per atom

=====

(5)
Compound: YTaMo
Source: Alexandria
Functional: PBE-GGA
Structure: optimized geometry

Structure (CIF):
```
data_YTaMo
_symmetry_space_group_name_H-M 'I 4 m m'
_symmetry_Int_Tables_number 107
_symmetry_space_group_name_Hall 'I 4 -2'
_cell_length_a 3.4014
_cell_length_b 3.4014
_cell_length_c 10.9706
_cell_angle_alpha 90.00
_cell_angle_beta 90.00
_cell_angle_gamma 90.00
loop_
_atom_site_label
_atom_site_type_symbol
_atom_site_fract_x
_atom_site_fract_y
_atom_site_fract_z
Y1 Y 0.0000 0.0000 0.0000
Ta1 Ta 0.0000 0.0000 0.2968
Mo1 Mo 0.0000 0.0000 0.6859
```

**Uncorrected energy**: -9.549 eV per atom
**ΔE_f**: 0.167 eV per atom

=====

(6)
Compound: YTaMo3
Source: Alexandria
Functional: PBE-GGA
Structure: optimized geometry

Structure (CIF):
```
data_YTaMo3
_symmetry_space_group_name_H-M 'P m -3 m'
_symmetry_Int_Tables_number 221
_symmetry_space_group_name_Hall '-P 4 2 3'
_cell_length_a 4.8436
_cell_length_b 4.8436
_cell_length_c 4.8436
_cell_angle_alpha 90.00
_cell_angle_beta 90.00
_cell_angle_gamma 90.00
loop_
_atom_site_label
_atom_site_type_symbol
_atom_site_fract_x
_atom_site_fract_y
_atom_site_fract_z
Y1 Y 0.0000 0.0000 0.0000
Ta1 Ta 0.5000 0.5000 0.5000
Mo1 Mo 0.0000 0.5000 0.5000
```

**Uncorrected energy**: -8.898 eV per atom
**ΔE_f**: 1.264 eV per atom